# ZrTl2Ag

ZrTl2Ag after structural relaxation (GGA-PBE, the Alexandria database).

Cell lengths 4.2910, 4.5619, 4.5619 Å; angles 90.00, 90.00, 90.00 degrees
With the nearest neighbours (Å) after each atom.
Sites, in units of the cell vectors:
Ag1 0.5000 0.0000 0.5000  8 Tl 3.13, 4 Zr 3.23
Tl1 0.0000 0.0000 0.0000  4 Zr 3.13, 4 Ag 3.13, 4 Tl 3.23
Tl2 0.0000 0.5000 0.5000  4 Ag 3.13, 4 Zr 3.13, 4 Tl 3.23
Zr1 0.5000 0.5000 0.0000  8 Tl 3.13, 4 Ag 3.23

Values from the calculation:
- symmetry = No. 123
- ΔE_f (eV/atom) = 0.0108
- crystal system = tetragonal
- E above lowest polymorph (meV per atom) = 0
- N(E_F) (states/eV/f.u.) = 2.4